Entry 1:
This record from Alexandria describes a geometry-optimized NaTl8Pb6 structure. The functional is PBE.

abc: 9.1581 9.1581 6.9311
angles: 90.00 90.00 120.00
Space group P-3 (No. 147)
Unique sites:
Na (0.0000, 0.0000, 0.0000)
Tl (0.0183, 0.6825, 0.3890)
Tl (0.3333, 0.6667, 0.7600)
Pb (0.0334, 0.3642, 0.1122)

Properties
* relative energy among the computed polymorphs: 0.007 eV per atom
* raw total energy: -41.8 eV per formula unit

Entry 2:
This record from Alexandria describes a geometry-optimized Te3AuSe structure. The functional is PBE.

abc: 5.399 5.399 5.399
angles: 90.00 90.00 90.00
Space group Pm-3m (No. 221)
Unique sites:
Te (0.000, 0.000, 0.500)
Au (0.000, 0.000, 0.000)
Se (0.500, 0.500, 0.500)

Properties
* relative energy among the computed polymorphs: 0.630 eV per atom
* raw total energy: -12.8 eV per formula unit
* energy relative to the elements, uncorrected: 0.69 eV per atom

Entry 3:
This record from Alexandria describes a geometry-optimized Ba2InRhI structure. The functional is PBE.

abc: 6.127 6.127 5.163
angles: 90.00 90.00 90.00
Space group P4/mmm (No. 123)
Unique sites:
Ba (0.000, 0.500, 0.000)
In (0.000, 0.000, 0.500)
Rh (0.000, 0.000, 0.000)
I (0.500, 0.500, 0.500)

Properties
* raw total energy: -19.0 eV per formula unit
* energy relative to the elements, uncorrected: -0.71 eV per atom

> Among the records above, which one has the lowest raw total energy?

NaTl8Pb6

> What is the formula in the first record?

NaTl8Pb6